# Al2Pb

A relaxed structure of Al2Pb (GGA-PBEsol, Alexandria).

Summary:
Size of the total moment: 0.000 μB/atom
Formation energy from the elements: 0.2527 eV/atom

a b c (Å): 3.2058 3.2058 7.3830
angles (deg): 90.00 90.00 120.00
Closest atoms and distances in Å follow each position.
Fractional coordinates of all 3 atoms:
Al (0.3333, 0.6667, 0.3586)  3 Al 2.79
Pb (0.0000, 0.0000, 0.0000)  6 Pb 3.21, 6 Al 3.23
Al (0.6667, 0.3333, 0.6414)  3 Al 2.79



# AlPb2

A relaxed structure of AlPb2 (GGA-PBEsol, Alexandria).

Summary:
Size of the total moment: 0.000 μB/atom
Formation energy from the elements: 0.1756 eV/atom

a b c (Å): 3.3675 3.3675 8.0059
angles (deg): 90.00 90.00 120.00
Closest atoms and distances in Å follow each position.
Fractional coordinates of all 3 atoms:
Al (0.0000, 0.0000, 0.0000)  6 Pb 3.12, 6 Al 3.37
Pb (0.6667, 0.3333, 0.6959)  3 Al 3.12, 6 Pb 3.37
Pb (0.3333, 0.6667, 0.3041)  3 Al 3.12, 6 Pb 3.37



# AlPb2

A relaxed structure of AlPb2 (GGA-PBEsol, Alexandria).

Summary:
Size of the total moment: 0.000 μB/atom
Formation energy from the elements: 0.1871 eV/atom

a b c (Å): 3.4583 3.4583 13.5987
angles (deg): 97.31 97.31 90.00
Closest atoms and distances in Å follow each position.
Fractional coordinates of all 6 atoms:
Al (0.2500, 0.7500, 0.5000)  8 Pb 3.08
Pb (0.5703, 0.5703, 0.1406)  4 Al 3.08, 2 Pb 3.40
Pb (0.4297, 0.4297, 0.8594)  4 Al 3.08, 2 Pb 3.40
Pb (0.6797, 0.1797, 0.3594)  4 Al 3.08, 2 Pb 3.40
Pb (0.8203, 0.3203, 0.6406)  4 Al 3.08, 2 Pb 3.40
Al (0.0000, 0.0000, 0.0000)  8 Pb 3.08